# PBE Na2ZrCr, optimized geometry
# DFT formation energy in eV per formula unit: 4.388
# Raw total energy in eV/atom: -4.11
# Crystal system: cubic
# Calculated volume in Å³/f.u.: 95
# DOS at the Fermi energy in states/eV/f.u.: 5.2
# Total magnetic moment in μB/atom: 0.5573
data_Na2ZrCr
_chemical_formula_sum 'Na8 Zr4 Cr4'
_cell_length_a 7.250
_cell_length_b 7.250
_cell_length_c 7.250
_cell_angle_alpha 90.00
_cell_angle_beta 90.00
_cell_angle_gamma 90.00
_space_group_name_H-M_alt 'F m -3 m'
_space_group_IT_number 225
_space_group_name_Hall '-F 4 2 3'
loop_
_atom_site_label
_atom_site_fract_x
_atom_site_fract_y
_atom_site_fract_z
Na1 0.250 0.250 0.250
Zr1 0.000 0.000 0.000
Cr1 0.000 0.000 0.500

---

# PBE Sr2AcGaTe5, optimized geometry
# Raw total energy in eV/atom: -4.18
# Formation energy (no corrections) in kJ/mol of formula units: -1102.4
# Crystal system: orthorhombic
# Calculated volume in Å³/f.u.: 327
# Total magnetic moment in μB/atom: 0.0000
data_Sr2AcGaTe5
_chemical_formula_sum 'Sr8 Ac4 Ga4 Te20'
_cell_length_a 4.507
_cell_length_b 21.081
_cell_length_c 13.759
_cell_angle_alpha 90.00
_cell_angle_beta 90.00
_cell_angle_gamma 90.00
_space_group_name_H-M_alt 'C m c 21'
_space_group_IT_number 36
_space_group_name_Hall 'C 2c -2'
loop_
_atom_site_label
_atom_site_fract_x
_atom_site_fract_y
_atom_site_fract_z
Sr1 0.000 0.111 0.000
Sr2 0.000 0.117 0.646
Ac1 0.000 0.206 0.344
Ga1 0.000 0.441 0.750
Te1 0.000 0.042 0.363
Te2 0.000 0.296 0.014
Te3 0.000 0.323 0.670
Te4 0.000 0.360 0.327
Te5 0.000 0.497 0.085

---

# PBE Rb3LaCd, optimized geometry
# DFT formation energy in eV per formula unit: 4.110
# Raw total energy in eV/atom: -0.93
# Crystal system: cubic
# Calculated volume in Å³/f.u.: 433
# DOS at the Fermi energy in states/eV/f.u.: 9.3
# Total magnetic moment in μB/atom: 0.8183
data_Rb3LaCd
_chemical_formula_sum 'Rb3 La1 Cd1'
_cell_length_a 7.566
_cell_length_b 7.566
_cell_length_c 7.566
_cell_angle_alpha 90.00
_cell_angle_beta 90.00
_cell_angle_gamma 90.00
_space_group_name_H-M_alt 'P m -3 m'
_space_group_IT_number 221
_space_group_name_Hall '-P 4 2 3'
loop_
_atom_site_label
_atom_site_fract_x
_atom_site_fract_y
_atom_site_fract_z
Rb1 0.000 0.000 0.500
La1 0.000 0.000 0.000
Cd1 0.500 0.500 0.500

---

# PBE NpTeBr3, optimized geometry
# Raw total energy in eV/atom: -5.19
# Formation energy (no corrections) in kJ/mol of formula units: -470.2
# Crystal system: monoclinic
# Calculated volume in Å³/f.u.: 210
# DOS at the Fermi energy in states/eV/f.u.: 7.0
# Total magnetic moment in μB/atom: 0.5977
data_NpTeBr3
_chemical_formula_sum 'Np8 Te8 Br24'
_cell_length_a 7.421
_cell_length_b 15.614
_cell_length_c 14.588
_cell_angle_alpha 90.00
_cell_angle_beta 96.42
_cell_angle_gamma 90.00
_space_group_name_H-M_alt 'C 1 2/c 1'
_space_group_IT_number 15
_space_group_name_Hall '-C 2yc'
loop_
_atom_site_label
_atom_site_fract_x
_atom_site_fract_y
_atom_site_fract_z
Np1 0.078 0.058 0.134
Te1 0.170 0.200 0.294
Br1 0.125 0.372 0.925
Br2 0.135 0.099 0.537
Br3 0.230 0.031 0.798

---

# PBE Ti2NiCl, optimized geometry
# Raw total energy in eV/atom: -5.90
# Formation energy (no corrections) in kJ/mol of formula units: -18.7
# Crystal system: cubic
# Calculated volume in Å³/f.u.: 58
# DOS at the Fermi energy in states/eV/f.u.: 3.4
# Total magnetic moment in μB/atom: 0.0000
data_Ti2NiCl
_chemical_formula_sum 'Ti8 Ni4 Cl4'
_cell_length_a 6.159
_cell_length_b 6.159
_cell_length_c 6.159
_cell_angle_alpha 90.00
_cell_angle_beta 90.00
_cell_angle_gamma 90.00
_space_group_name_H-M_alt 'F m -3 m'
_space_group_IT_number 225
_space_group_name_Hall '-F 4 2 3'
loop_
_atom_site_label
_atom_site_fract_x
_atom_site_fract_y
_atom_site_fract_z
Ti1 0.250 0.250 0.250
Ni1 0.000 0.000 0.000
Cl1 0.000 0.000 0.500

---

# PBE Ac2Pr3Cd3, optimized geometry
# DFT formation energy in eV per formula unit: -1.453
# Raw total energy in eV/atom: -3.34
# Crystal system: orthorhombic
# Calculated volume in Å³/f.u.: 267
# DOS at the Fermi energy in states/eV/f.u.: 11.0
# Total magnetic moment in μB/atom: 0.0002
data_Ac2Pr3Cd3
_chemical_formula_sum 'Ac4 Pr6 Cd6'
_cell_length_a 4.006
_cell_length_b 5.693
_cell_length_c 23.446
_cell_angle_alpha 90.00
_cell_angle_beta 90.00
_cell_angle_gamma 90.00
_space_group_name_H-M_alt 'I m m m'
_space_group_IT_number 71
_space_group_name_Hall '-I 2 2'
loop_
_atom_site_label
_atom_site_fract_x
_atom_site_fract_y
_atom_site_fract_z
Ac1 0.000 0.000 0.229
Pr1 0.000 0.000 0.000
Pr2 0.000 0.500 0.117
Cd1 0.000 0.000 0.500
Cd2 0.000 0.500 0.389

---

# PBE Pr4Nd2SmHo, optimized geometry
# DFT formation energy in eV per formula unit: 0.101
# Raw total energy in eV/atom: -4.73
# Crystal system: monoclinic
# Calculated volume in Å³/f.u.: 280
# DOS at the Fermi energy in states/eV/f.u.: 11.7
# Total magnetic moment in μB/atom: 0.0000
data_Pr4Nd2SmHo
_chemical_formula_sum 'Pr4 Nd2 Sm1 Ho1'
_cell_length_a 5.190
_cell_length_b 5.213
_cell_length_c 10.347
_cell_angle_alpha 90.00
_cell_angle_beta 90.12
_cell_angle_gamma 90.00
_space_group_name_H-M_alt 'P 1 2/m 1'
_space_group_IT_number 10
_space_group_name_Hall '-P 2y'
loop_
_atom_site_label
_atom_site_fract_x
_atom_site_fract_y
_atom_site_fract_z
Pr1 0.000 0.000 0.248
Pr2 0.500 0.500 0.249
Nd1 0.000 0.500 0.000
Nd2 0.500 0.000 0.500
Sm1 0.000 0.500 0.500
Ho1 0.500 0.000 0.000

---

# PBE HfAgN2F, optimized geometry
# Raw total energy in eV/atom: -5.61
# Formation energy (no corrections) in kJ/mol of formula units: 317.0
# Crystal system: tetragonal
# Calculated volume in Å³/f.u.: 65
# DOS at the Fermi energy in states/eV/f.u.: 1.3
# Total magnetic moment in μB/atom: 0.0000
data_HfAgN2F
_chemical_formula_sum 'Hf1 Ag1 N2 F1'
_cell_length_a 4.069
_cell_length_b 4.069
_cell_length_c 3.940
_cell_angle_alpha 90.00
_cell_angle_beta 90.00
_cell_angle_gamma 90.00
_space_group_name_H-M_alt 'P 4/m m m'
_space_group_IT_number 123
_space_group_name_Hall '-P 4 2'
loop_
_atom_site_label
_atom_site_fract_x
_atom_site_fract_y
_atom_site_fract_z
Hf1 0.000 0.000 0.000
Ag1 0.500 0.500 0.500
N1 0.000 0.500 0.500
F1 0.500 0.500 0.000

---

# PBE BaZr3Ta, optimized geometry
# DFT formation energy in eV per formula unit: 10.709
# Raw total energy in eV/atom: -5.74
# Crystal system: cubic
# Calculated volume in Å³/f.u.: 140
# DOS at the Fermi energy in states/eV/f.u.: 11.4
# Total magnetic moment in μB/atom: 0.0001
data_BaZr3Ta
_chemical_formula_sum 'Ba1 Zr3 Ta1'
_cell_length_a 5.195
_cell_length_b 5.195
_cell_length_c 5.195
_cell_angle_alpha 90.00
_cell_angle_beta 90.00
_cell_angle_gamma 90.00
_space_group_name_H-M_alt 'P m -3 m'
_space_group_IT_number 221
_space_group_name_Hall '-P 4 2 3'
loop_
_atom_site_label
_atom_site_fract_x
_atom_site_fract_y
_atom_site_fract_z
Ba1 0.000 0.000 0.000
Zr1 0.000 0.000 0.500
Ta1 0.500 0.500 0.500

---

# PBE SrTlPd, optimized geometry
# DFT formation energy in eV per formula unit: -1.554
# Raw total energy in eV/atom: -3.60
# Crystal system: monoclinic
# Calculated volume in Å³/f.u.: 83
# DOS at the Fermi energy in states/eV/f.u.: 1.7
# Total magnetic moment in μB/atom: 0.0000
data_SrTlPd
_chemical_formula_sum 'Sr4 Tl4 Pd4'
_cell_length_a 12.448
_cell_length_b 4.675
_cell_length_c 5.781
_cell_angle_alpha 90.00
_cell_angle_beta 99.90
_cell_angle_gamma 90.00
_space_group_name_H-M_alt 'C 1 2/m 1'
_space_group_IT_number 12
_space_group_name_Hall '-C 2y'
loop_
_atom_site_label
_atom_site_fract_x
_atom_site_fract_y
_atom_site_fract_z
Sr1 0.124 0.000 0.310
Tl1 0.089 0.500 0.787
Pd1 0.215 0.000 0.858

---

# PBE Pr2Ho6Er3Tm, optimized geometry
# DFT formation energy in eV per formula unit: 0.253
# Raw total energy in eV/atom: -4.58
# Crystal system: monoclinic
# Calculated volume in Å³/f.u.: 378
# DOS at the Fermi energy in states/eV/f.u.: 15.6
# Total magnetic moment in μB/atom: 0.0000
data_Pr2Ho6Er3Tm
_chemical_formula_sum 'Pr4 Ho12 Er6 Tm2'
_cell_length_a 6.146
_cell_length_b 10.636
_cell_length_c 11.754
_cell_angle_alpha 90.00
_cell_angle_beta 100.00
_cell_angle_gamma 90.00
_space_group_name_H-M_alt 'C 1 2/m 1'
_space_group_IT_number 12
_space_group_name_Hall '-C 2y'
loop_
_atom_site_label
_atom_site_fract_x
_atom_site_fract_y
_atom_site_fract_z
Pr1 0.000 0.167 0.000
Ho1 0.247 0.500 0.746
Ho2 0.249 0.166 0.746
Er1 0.000 0.000 0.500
Er2 0.000 0.334 0.500
Tm1 0.000 0.500 0.000

---

# PBE KHfGa, optimized geometry
# DFT formation energy in eV per formula unit: 0.372
# Raw total energy in eV/atom: -4.57
# Crystal system: triclinic
# Calculated volume in Å³/f.u.: 111
# DOS at the Fermi energy in states/eV/f.u.: 1.0
# Total magnetic moment in μB/atom: 0.0000
data_KHfGa
_chemical_formula_sum 'K2 Hf2 Ga2'
_cell_length_a 4.693
_cell_length_b 4.694
_cell_length_c 11.595
_cell_angle_alpha 84.73
_cell_angle_beta 84.14
_cell_angle_gamma 60.87
_space_group_name_H-M_alt 'P -1'
_space_group_IT_number 2
_space_group_name_Hall '-P 1'
loop_
_atom_site_label
_atom_site_fract_x
_atom_site_fract_y
_atom_site_fract_z
K1 0.219 0.203 0.188
Hf1 0.170 0.171 0.505
Ga1 0.481 0.486 0.611

---

- Which value of total magnetic moment does entry 9 give?
  0.0001 μB/atom

---

- The highest raw total energy belongs to which entry?
  Rb3LaCd